# 1
## Ac6Tl3In (PBE)

Data for crystalline Ac6Tl3In at its relaxed geometry.

DOS(E_F) = 0.958 states/eV/atom
Energy relative to the elements = -0.27 eV per atom
Symmetry = No. 11
Crystal system = monoclinic
Magnetization = 0.000 μB per cell

Lattice parameters (Å, degrees): 10.4679 5.7419 12.8149 90.00 105.97 90.00
Last column: nearest neighbours and their distance in Å.
Fractional coordinates of all 20 atoms:
Ac 0.0247 0.2500 0.4014  3 Tl 3.41-3.64
Ac 0.1513 0.7500 0.1786  5 Tl 3.42-3.56, 1 In 3.44
Ac 0.2609 0.2500 0.9979  4 Tl 3.49-3.76, 3 In 3.57-3.70, 2 Ac 3.86
Ac 0.3428 0.7500 0.8260  3 In 3.55-3.56, 3 Tl 3.59-3.71, 2 Ac 3.86
Ac 0.3782 0.2500 0.3407  5 Ac 3.54-3.94, 3 Tl 3.60-3.78
Ac 0.3850 0.2500 0.6183  3 Tl 3.34-3.48, 1 In 3.38, 3 Ac 3.54-3.73
Ac 0.6150 0.7500 0.3817  3 Tl 3.34-3.48, 1 In 3.38, 3 Ac 3.54-3.73
Ac 0.6218 0.7500 0.6593  5 Ac 3.54-3.94, 3 Tl 3.60-3.78
Ac 0.6572 0.2500 0.1740  3 In 3.55-3.56, 3 Tl 3.59-3.71, 2 Ac 3.86
Ac 0.7391 0.7500 0.0021  4 Tl 3.49-3.76, 3 In 3.57-3.70, 2 Ac 3.86
Ac 0.8487 0.2500 0.8214  5 Tl 3.42-3.56, 1 In 3.44
Ac 0.9753 0.7500 0.5986  3 Tl 3.41-3.64
Tl 0.0305 0.7500 0.8916  8 Ac 3.42-3.76
Tl 0.1216 0.2500 0.7174  7 Ac 3.34-3.71
Tl 0.2755 0.7500 0.4669  8 Ac 3.48-3.82
Tl 0.7245 0.2500 0.5331  8 Ac 3.48-3.82
Tl 0.8784 0.7500 0.2826  7 Ac 3.34-3.71
Tl 0.9695 0.2500 0.1084  8 Ac 3.42-3.76
In 0.4495 0.7500 0.1148  8 Ac 3.38-3.70
In 0.5505 0.2500 0.8852  8 Ac 3.38-3.70



# 2
## LiMgAg3 (PBE)

Data for crystalline LiMgAg3 at its relaxed geometry.

DOS(E_F) = 0.298 states/eV/atom
Energy relative to the lowest polymorph listed for this composition = 198 kJ/mol of formula units
Energy relative to the elements = 0.21 eV per atom
Symmetry = No. 221
Crystal system = cubic
Magnetization = 0.000 μB per cell

Lattice parameters (Å, degrees): 4.5550 4.5550 4.5550 90.00 90.00 90.00
Last column: nearest neighbours and their distance in Å.
Fractional coordinates of all 5 atoms:
Li 0.0000 0.0000 0.0000  6 Ag 2.28
Mg 0.5000 0.5000 0.5000  12 Ag 3.22
Ag 0.0000 0.0000 0.5000  2 Li 2.28
Ag 0.0000 0.5000 0.0000  2 Li 2.28
Ag 0.5000 0.0000 0.0000  2 Li 2.28



# 3
## ScReBr3 (PBE)

Data for crystalline ScReBr3 at its relaxed geometry.

DOS(E_F) = 0.765 states/eV/atom
Energy relative to the lowest polymorph listed for this composition = 0 kJ/mol of formula units
Symmetry = No. 221
ΔE_f (raw) = 0.253 eV per atom
Crystal system = cubic
Magnetization = 5.000 μB per cell

Lattice parameters (Å, degrees): 5.3518 5.3518 5.3518 90.00 90.00 90.00
Last column: nearest neighbours and their distance in Å.
Fractional coordinates of all 5 atoms:
Sc 0.0000 0.0000 0.0000  6 Br 2.68
Re 0.5000 0.5000 0.5000  12 Br 3.78
Br 0.0000 0.0000 0.5000  2 Sc 2.68
Br 0.0000 0.5000 0.0000  2 Sc 2.68
Br 0.5000 0.0000 0.0000  2 Sc 2.68



# 4
## TaCu2Cl (PBE)

Data for crystalline TaCu2Cl at its relaxed geometry.

DOS(E_F) = 0.576 states/eV/atom
Energy relative to the lowest polymorph listed for this composition = 197 kJ/mol of formula units
Symmetry = No. 119
ΔE_f (raw) = 0.531 eV per atom
Crystal system = tetragonal
Magnetization = 0.000 μB per cell

Lattice parameters (Å, degrees): 4.7345 4.7345 4.7345 130.86 130.86 72.03
Last column: nearest neighbours and their distance in Å.
Fractional coordinates of all 4 atoms:
Ta 0.0000 0.0000 0.0000  4 Cl 2.75, 8 Cu 2.75-2.78
Cu 0.5000 0.5000 0.0000  4 Cu 2.75, 4 Cl 2.75, 4 Ta 2.78
Cu 0.7500 0.2500 0.5000  4 Ta 2.75, 4 Cu 2.75, 4 Cl 2.78
Cl 0.2500 0.7500 0.5000  4 Ta 2.75, 8 Cu 2.75-2.78



# 5
## Y3Zn4 (PBE)

Data for crystalline Y3Zn4 at its relaxed geometry.

DOS(E_F) = 0.637 states/eV/atom
Energy relative to the lowest polymorph listed for this composition = 234 kJ/mol of formula units
Energy relative to the elements = 0.10 eV per atom
Symmetry = No. 191
Crystal system = hexagonal
Magnetization = 0.000 μB per cell

Lattice parameters (Å, degrees): 6.6004 6.6004 4.7536 90.00 90.00 120.00
Last column: nearest neighbours and their distance in Å.
Fractional coordinates of all 7 atoms:
Y 0.0000 0.5000 0.0000  4 Zn 3.05, 4 Y 3.30
Y 0.5000 0.0000 0.0000  4 Zn 3.05, 4 Y 3.30
Y 0.5000 0.5000 0.0000  4 Zn 3.05, 4 Y 3.30
Zn 0.0000 0.0000 0.2493  2 Zn 2.37-2.38
Zn 0.0000 0.0000 0.7507  2 Zn 2.37-2.38
Zn 0.3333 0.6667 0.5000  6 Y 3.05
Zn 0.6667 0.3333 0.5000  6 Y 3.05



# 6
## TmZrRh4 (PBE)

Data for crystalline TmZrRh4 at its relaxed geometry.

DOS(E_F) = 0.609 states/eV/atom
Energy relative to the lowest polymorph listed for this composition = 0 kJ/mol of formula units
Energy relative to the elements = -0.68 eV per atom
Symmetry = No. 216
Crystal system = cubic
Magnetization = 0.000 μB per cell

Lattice parameters (Å, degrees): 5.2598 5.2598 5.2598 60.00 60.00 60.00
Last column: nearest neighbours and their distance in Å.
Fractional coordinates of all 6 atoms:
Tm 0.0000 0.0000 0.0000  12 Rh 3.08, 4 Zr 3.22
Zr 0.7500 0.7500 0.7500  12 Rh 3.08, 4 Tm 3.22
Rh 0.3749 0.3749 0.3749  6 Rh 2.63
Rh 0.3749 0.3749 0.8754  6 Rh 2.63
Rh 0.3749 0.8754 0.3749  6 Rh 2.63
Rh 0.8754 0.3749 0.3749  6 Rh 2.63



# 7
## Ba2Ge2Au7 (PBE)

Data for crystalline Ba2Ge2Au7 at its relaxed geometry.

DOS(E_F) = 0.277 states/eV/atom
Energy relative to the elements = -0.39 eV per atom
Symmetry = No. 12
Crystal system = monoclinic
Magnetization = 0.000 μB per cell

Lattice parameters (Å, degrees): 7.8706 7.8706 5.2392 90.17 90.17 117.21
Last column: nearest neighbours and their distance in Å.
Fractional coordinates of all 11 atoms:
Ba 0.1806 0.8194 0.0000  8 Au 3.39-3.57
Ba 0.8194 0.1806 0.0000  8 Au 3.39-3.57
Ge 0.3974 0.3974 0.7840  4 Au 2.50-2.69
Ge 0.6026 0.6026 0.2160  4 Au 2.50-2.69
Au 0.0000 0.0000 0.5000  2 Au 2.69
Au 0.1550 0.4826 0.5739  1 Ge 2.54, 1 Au 2.69
Au 0.2742 0.2742 0.2192  2 Ge 2.50-2.69, 1 Au 2.69
Au 0.4826 0.1550 0.5739  1 Ge 2.54, 1 Au 2.69
Au 0.5174 0.8450 0.4261  1 Ge 2.54, 1 Au 2.69
Au 0.7258 0.7258 0.7808  2 Ge 2.50-2.69, 1 Au 2.69
Au 0.8450 0.5174 0.4261  1 Ge 2.54, 1 Au 2.69



# 8
## CsCu2Cl (PBE)

Data for crystalline CsCu2Cl at its relaxed geometry.

DOS(E_F) = 1.196 states/eV/atom
Energy relative to the lowest polymorph listed for this composition = 242 kJ/mol of formula units
Symmetry = No. 225
ΔE_f (raw) = 0.608 eV per atom
Crystal system = cubic
Magnetization = 0.705 μB per cell

Lattice parameters (Å, degrees): 5.3306 5.3306 5.3306 60.00 60.00 60.00
Last column: nearest neighbours and their distance in Å.
Fractional coordinates of all 4 atoms:
Cs 0.0000 0.0000 0.0000  8 Cu 3.26
Cu 0.2500 0.2500 0.2500  4 Cl 3.26, 4 Cs 3.26
Cu 0.7500 0.7500 0.7500  4 Cl 3.26, 4 Cs 3.26
Cl 0.5000 0.5000 0.5000  8 Cu 3.26



# 9
## GdScZnIr (PBE)

Data for crystalline GdScZnIr at its relaxed geometry.

DOS(E_F) = 0.624 states/eV/atom
Energy relative to the elements = -0.60 eV per atom
Symmetry = No. 216
Crystal system = cubic
Magnetization = 7.084 μB per cell

Lattice parameters (Å, degrees): 4.8185 4.8185 4.8185 60.00 60.00 60.00
Last column: nearest neighbours and their distance in Å.
Fractional coordinates of all 4 atoms:
Gd 0.0000 0.0000 0.0000  4 Ir 2.95, 4 Zn 2.95
Sc 0.5000 0.5000 0.5000  4 Ir 2.95, 4 Zn 2.95
Zn 0.2500 0.2500 0.2500  4 Gd 2.95, 4 Sc 2.95
Ir 0.7500 0.7500 0.7500  4 Gd 2.95, 4 Sc 2.95



# 10
## Pm4Sb2TeSe (PBE)

Data for crystalline Pm4Sb2TeSe at its relaxed geometry.

DOS(E_F) = 0.486 states/eV/atom
Symmetry = No. 10
ΔE_f (raw) = -1.416 eV per atom
Crystal system = monoclinic
Magnetization = 0.000 μB per cell

Lattice parameters (Å, degrees): 7.6253 4.4304 7.6856 90.00 109.62 90.00
Last column: nearest neighbours and their distance in Å.
Fractional coordinates of all 8 atoms:
Pm 0.2464 0.0000 0.2407  2 Se 3.09, 3 Sb 3.09-3.17, 1 Te 3.16
Pm 0.2521 0.5000 0.7593  1 Se 3.08, 3 Sb 3.09-3.17, 2 Te 3.16
Pm 0.7479 0.5000 0.2407  1 Se 3.08, 3 Sb 3.09-3.17, 2 Te 3.16
Pm 0.7536 0.0000 0.7593  2 Se 3.09, 3 Sb 3.09-3.17, 1 Te 3.16
Sb 0.5000 0.0000 0.0000  6 Pm 3.09
Sb 0.5000 0.5000 0.5000  6 Pm 3.17
Te 0.0000 0.0000 0.5000  6 Pm 3.16
Se 0.0000 0.5000 0.0000  6 Pm 3.08-3.09



# 11
## Li2Cd2Hg (PBE)

Data for crystalline Li2Cd2Hg at its relaxed geometry.

DOS(E_F) = 0.283 states/eV/atom
Energy relative to the lowest polymorph listed for this composition = 0 kJ/mol of formula units
Energy relative to the elements = -0.24 eV per atom
Symmetry = No. 12
Crystal system = monoclinic
Magnetization = 0.000 μB per cell

Lattice parameters (Å, degrees): 5.1470 5.1470 6.6205 128.45 128.45 50.45
Last column: nearest neighbours and their distance in Å.
Fractional coordinates of all 5 atoms:
Li 0.1006 0.1006 0.3086  6 Cd 2.93-3.09, 3 Hg 2.99, 3 Li 3.05-3.11
Li 0.8994 0.8994 0.6914  6 Cd 2.93-3.09, 3 Hg 2.99, 3 Li 3.05-3.11
Cd 0.3035 0.3035 0.8950  3 Cd 2.89-3.11, 6 Li 2.93-3.09, 3 Hg 3.05-3.08
Cd 0.6965 0.6965 0.1050  3 Cd 2.89-3.11, 6 Li 2.93-3.09, 3 Hg 3.05-3.08
Hg 0.5000 0.5000 0.5000  6 Li 2.99, 6 Cd 3.05-3.08



# 12
## TbNd2Er (PBE)

Data for crystalline TbNd2Er at its relaxed geometry.

DOS(E_F) = 1.126 states/eV/atom
Energy relative to the lowest polymorph listed for this composition = 0 kJ/mol of formula units
Energy relative to the elements = 0.01 eV per atom
Symmetry = No. 166
Crystal system = trigonal
Magnetization = 0.000 μB per cell

Lattice parameters (Å, degrees): 11.8753 11.8753 11.8753 17.50 17.50 17.50
Last column: nearest neighbours and their distance in Å.
Fractional coordinates of all 4 atoms:
Tb 0.0000 0.0000 0.0000  6 Nd 3.61, 6 Tb 3.61
Nd 0.2495 0.2495 0.2495  3 Er 3.57, 3 Tb 3.61, 6 Nd 3.61
Nd 0.7505 0.7505 0.7505  3 Er 3.57, 3 Tb 3.61, 6 Nd 3.61
Er 0.5000 0.5000 0.5000  6 Nd 3.57, 6 Er 3.61



# 13
## PrPu2Os (PBE)

Data for crystalline PrPu2Os at its relaxed geometry.

DOS(E_F) = 3.254 states/eV/atom
Energy relative to the lowest polymorph listed for this composition = 76 kJ/mol of formula units
Energy relative to the elements = 0.21 eV per atom
Symmetry = No. 166
Crystal system = trigonal
Magnetization = 10.930 μB per cell

Lattice parameters (Å, degrees): 5.7888 5.7888 5.7888 48.15 48.15 48.15
Last column: nearest neighbours and their distance in Å.
Fractional coordinates of all 4 atoms:
Pr 0.0000 0.0000 0.0000  8 Pu 3.18-3.48
Pu 0.2269 0.2269 0.2269  3 Os 2.88, 3 Pr 3.18
Pu 0.7731 0.7731 0.7731  3 Os 2.88, 3 Pr 3.18
Os 0.5000 0.5000 0.5000  6 Pu 2.88



no.,electronic total energy (eV/atom)
1,-3.718
2,-2.200
3,-4.506
4,-4.942
5,-3.399
6,-7.749
7,-3.669
8,-2.115
9,-8.242
10,-5.651
11,-1.428
12,-4.669
13,-10.959